VASP calculation (GGA-PBE) on a relaxed structure of KBeFe.

The theoretical density comes out at 3.09 g cm⁻³. The calculation puts the formation energy at 1.3156 eV per atom. The calculation puts the total magnetic moment at 0.931 μB/atom. Its final energy is -3.113 eV/atom. As for the energy above the lowest structure with this stoichiometry: 616 meV/atom.

The space group is P3m1 (No. 156) and the conventional cell measures 4.9921, 4.9921 and 2.5867 Å, with angles of 90.00, 90.00 and 120.00 degrees. Symmetry generates all atoms from K at (0.0000, 0.0000, 0.0000), Be at (0.6667, 0.3333, 0.3889) and Fe at (0.3333, 0.6667, 0.7355).